LiC2O | PBE | relaxed

## Properties
DFT total energy ... -6.400 eV per atom
Total magnetic moment ... 0.000 μB per formula unit
Uncorrected formation energy ... -0.0696 eV/atom

Lattice parameters (Å, degrees): 3.2476 2.6463 7.6202 69.64 129.82 90.04
Fractional coordinates of all 4 atoms:
C  0.3304  0.9766  0.5062
C  0.7060  0.7259  0.7570
O  0.9841  0.2080  0.2748
Li  0.4975  0.0317  0.9510


Mo2PI | PBE | relaxed

## Properties
DFT total energy ... -6.570 eV per atom
Total magnetic moment ... 0.000 μB per formula unit
Energy above the most stable polymorph in this dataset ... 0.26 eV/f.u.
Uncorrected formation energy ... 0.5853 eV/atom

Lattice parameters (Å, degrees): 4.6588 4.6588 8.4318 73.96 73.96 90.00
Fractional coordinates of all 8 atoms:
P  0.5000  0.5000  0.0000
P  0.2500  0.7500  0.5000
Mo  0.2116  0.6250  0.2500
Mo  0.5384  0.1250  0.2500
Mo  0.8750  0.7884  0.7500
Mo  0.3750  0.4616  0.7500
I  0.0000  0.0000  0.0000
I  0.7500  0.2500  0.5000


K2Mg3CdPb4 | PBE | relaxed

## Properties
Formation enthalpy at 0 K ... -2.5 kcal/mol of atoms
DFT total energy ... -2.380 eV per atom
Total magnetic moment ... 0.000 μB per formula unit

Lattice parameters (Å, degrees): 4.9020 4.9020 13.1795 90.00 90.00 90.00
Fractional coordinates of all 10 atoms:
Mg  0.5000  0.0000  0.8585
Mg  0.0000  0.0000  0.5000
Mg  0.0000  0.5000  0.1415
Pb  0.5000  0.0000  0.6367
Pb  0.0000  0.0000  0.0000
Pb  0.0000  0.5000  0.3633
Pb  0.5000  0.5000  0.0000
K  0.5000  0.0000  0.2562
K  0.0000  0.5000  0.7438
Cd  0.5000  0.5000  0.5000


What did the third record say?
K2Mg3CdPb4 | PBE | relaxed

## Properties
Formation enthalpy at 0 K ... -2.5 kcal/mol of atoms
DFT total energy ... -2.380 eV per atom
Total magnetic moment ... 0.000 μB per formula unit

Lattice parameters (Å, degrees): 4.9020 4.9020 13.1795 90.00 90.00 90.00
Fractional coordinates of all 10 atoms:
Mg  0.5000  0.0000  0.8585
Mg  0.0000  0.0000  0.5000
Mg  0.0000  0.5000  0.1415
Pb  0.5000  0.0000  0.6367
Pb  0.0000  0.0000  0.0000
Pb  0.0000  0.5000  0.3633
Pb  0.5000  0.5000  0.0000
K  0.5000  0.0000  0.2562
K  0.0000  0.5000  0.7438
Cd  0.5000  0.5000  0.5000


> Which value of DFT total energy does entry 2 give?

-6.570 eV per atom


> Look up the total magnetic moment of the second one.

0.000 μB per formula unit


> Which value of total magnetic moment does entry 3 give?

0.000 μB per formula unit